(1)
A geometry-optimized Cu7Ni structure, computed with PBE-GGA. Values from VASP.

Structure (Quantum ESPRESSO input):
```
&SYSTEM
  ibrav = 0, nat = 8, ntyp = 2
/
ATOMIC_SPECIES
Cu 63.55 Cu.upf
Ni 58.69 Ni.upf
CELL_PARAMETERS angstrom
0.000 3.609 3.609
3.609 0.000 3.609
3.609 3.609 0.000
ATOMIC_POSITIONS crystal
Cu 0.000 0.000 0.000
Cu 0.000 0.000 0.500
Cu 0.000 0.500 0.000
Cu 0.000 0.500 0.500
Cu 0.500 0.000 0.000
Cu 0.500 0.000 0.500
Cu 0.500 0.500 0.000
Ni 0.500 0.500 0.500
```

Computed properties:
- Energy relative to the elements: 0.003 eV/atom
- Symmetry: Fm-3m (225)

=====

(2)
A geometry-optimized Cr5Os structure, computed with PBE-GGA. Values from VASP.

Structure (Quantum ESPRESSO input):
```
&SYSTEM
  ibrav = 0, nat = 6, ntyp = 2
/
ATOMIC_SPECIES
Cr 52.00 Cr.upf
Os 190.23 Os.upf
CELL_PARAMETERS angstrom
4.632 0.000 0.000
-2.316 4.012 0.000
0.000 0.000 4.084
ATOMIC_POSITIONS crystal
Cr 0.000 0.500 0.000
Cr 0.333 0.667 0.500
Cr 0.500 0.000 0.000
Cr 0.500 0.500 0.000
Cr 0.667 0.333 0.500
Os 0.000 0.000 0.500
```

Computed properties:
- Energy relative to the elements: 0.406 eV/atom
- Symmetry: P6/mmm (191)
- Energy above the lowest structure with this stoichiometry: 384 meV per atom

=====

(3)
A geometry-optimized CaLa3Sm6Y2 structure, computed with PBE-GGA. Values from VASP.

Structure (Quantum ESPRESSO input):
```
&SYSTEM
  ibrav = 0, nat = 12, ntyp = 4
/
ATOMIC_SPECIES
Ca 40.08 Ca.upf
La 138.91 La.upf
Sm 150.36 Sm.upf
Y 88.91 Y.upf
CELL_PARAMETERS angstrom
3.182 -5.517 0.000
3.182 5.517 0.000
-2.121 0.000 11.920
ATOMIC_POSITIONS crystal
Ca 0.000 0.000 0.000
La 0.166 0.834 0.500
La 0.500 0.500 0.500
La 0.834 0.166 0.500
Sm 0.083 0.423 0.248
Sm 0.256 0.256 0.752
Sm 0.423 0.083 0.248
Sm 0.577 0.917 0.752
Sm 0.744 0.744 0.248
Sm 0.917 0.577 0.752
Y 0.333 0.667 0.000
Y 0.667 0.333 0.000
```

Computed properties:
- Energy relative to the elements: 0.046 eV/atom
- Symmetry: C2/m (12)

=====

(4)
A geometry-optimized Ca3SiBr2 structure, computed with PBE-GGA. Values from VASP.

Structure (Quantum ESPRESSO input):
```
&SYSTEM
  ibrav = 0, nat = 12, ntyp = 3
/
ATOMIC_SPECIES
Ca 40.08 Ca.upf
Si 28.09 Si.upf
Br 79.90 Br.upf
CELL_PARAMETERS angstrom
7.974 0.000 0.000
0.000 4.516 0.000
-3.636 0.000 12.026
ATOMIC_POSITIONS crystal
Ca 0.000 0.000 0.000
Ca 0.010 0.500 0.385
Ca 0.444 0.500 0.595
Ca 0.500 0.500 0.000
Ca 0.510 0.000 0.385
Ca 0.944 0.000 0.595
Si 0.227 0.000 0.490
Si 0.727 0.500 0.490
Br 0.114 0.500 0.879
Br 0.387 0.000 0.118
Br 0.614 0.000 0.879
Br 0.887 0.500 0.118
```

Computed properties:
- Symmetry: Cm (8)
- Energy above the lowest structure with this stoichiometry: 151 meV per atom
- Energy relative to the elements, uncorrected: -1067 meV/atom

=====

| no. | N(E_F) (states/eV/f.u.) |
| --- | --- |
| 1 | 3.36 |
| 2 | 6.02 |
| 3 | 20.06 |
| 4 | 4.02 |